(one)
A plane-wave DFT calculation with PBE was carried out for a relaxed Y2Ho2CI3Br2 crystal.

The value obtained for the density is 5.77 g/cm³.

It has space group C2/m (No. 12), with a = 18.608 Å, b = 3.916 Å, c = 8.575 Å, α = 90.00°, β = 102.42° and γ = 90.00°. The asymmetric unit holds Y at (0.001, 0.000, 0.310), Ho at (0.131, 0.500, 0.560), C at (0.000, 0.500, 0.500), I at (0.000, 0.500, 0.000), I at (0.168, 0.000, 0.835) and Br at (0.164, 0.000, 0.339).

(two)
A plane-wave DFT calculation with PBE was carried out for a relaxed Y2Ho2CI3Br2 crystal.

The value obtained for the density is 5.90 g/cm³.

It has space group C2/m (No. 12), with a = 18.508 Å, b = 3.910 Å, c = 8.442 Å, α = 90.00°, β = 102.30° and γ = 90.00°. The asymmetric unit holds Y at (0.133, 0.000, 0.069), Ho at (0.001, 0.500, 0.809), C at (0.000, 0.000, 0.000), I at (0.000, 0.000, 0.500), I at (0.171, 0.500, 0.816) and Br at (0.157, 0.500, 0.325).

Least stable structure: (one)